# 1
4
Lattice="-3.438 -1.557 2.614 1.447 -4.281 0.812 2.403 3.851 0.692" Properties=species:S:1:pos:R:3 comment="ScMn2Ru PBE optimized geometry" crystal_system=tetragonal ef_mev_per_atom=100.9 relative_energy_ev_per_fu=0.66 pbc="T T T"
Mn 0.000 0.000 0.000
Mn -0.996 -2.919 1.713
Sc -1.016 -0.313 2.510
Ru 1.427 -1.675 1.609

***

# 2
20
Lattice="7.387 0.000 0.000 0.000 8.591 -1.079 0.000 -2.969 8.133" Properties=species:S:1:pos:R:3 comment="Hf6InPb3 PBE optimized geometry" crystal_system=orthorhombic ef_mev_per_atom=88.5 pbc="T T T"
Hf 0.093 5.573 1.326
Hf 0.729 2.676 1.348
Hf 5.964 0.791 7.577
Hf 4.423 0.717 2.909
Hf 2.270 4.831 -0.523
Hf 2.270 7.210 2.462
Hf 3.786 0.049 5.728
Hf 4.423 2.946 5.706
Hf 5.994 -2.348 7.639
Hf 2.301 7.970 -0.584
Hf 5.964 -1.588 4.593
Hf 0.729 4.905 4.145
Pb 3.557 5.583 4.704
Pb 1.899 1.941 4.221
Pb 7.251 3.340 6.492
Pb 5.593 3.681 2.834
Pb 3.557 2.282 0.562
Pb 7.251 0.038 2.350
In 4.645 6.505 0.583
In 0.952 -0.883 6.471

***

# 3
8
Lattice="-1.418 3.300 -2.493 -7.276 -2.171 1.266 -2.601 3.536 6.162" Properties=species:S:1:pos:R:3 comment="Pr4Bi2PS PBE optimized geometry" crystal_system=monoclinic formation_energy_uncorrected_ev_per_fu=-10.657 pbc="T T T"
Pr -7.226 1.102 5.570
Pr -4.652 3.654 3.650
Pr -4.069 3.564 -0.636
Pr -6.644 1.011 1.284
Bi -2.010 3.418 1.834
Bi -2.602 3.536 6.162
P -4.939 0.683 3.714
S -4.347 0.565 -0.614

***

# 4
28
Lattice="-6.360 0.875 4.240 3.579 -6.808 -0.191 8.425 4.286 4.738" Properties=species:S:1:pos:R:3 comment="Dy2Ga9Pd3 PBE optimized geometry" crystal_system=monoclinic ef_mev_per_atom=-603.6 pbc="T T T"
Ga 10.557 -2.564 4.739
Ga -1.571 -1.636 2.642
Ga 4.620 -1.040 6.261
Ga 7.215 -0.011 6.146
Ga 1.742 -4.191 1.169
Ga 3.638 -3.260 3.800
Ga 3.330 0.945 2.459
Ga -4.913 0.917 4.049
Ga 1.203 3.133 7.237
Ga -1.021 0.990 3.462
Ga 2.314 -2.592 6.329
Ga 6.665 -2.637 5.326
Ga 5.363 -0.909 3.558
Ga 1.024 -0.607 2.527
Ga 3.902 2.544 7.619
Ga 4.441 -4.780 1.550
Ga 0.281 -0.738 5.229
Ga 2.007 1.613 4.987
Pd 0.144 -2.163 0.656
Pd 2.822 -0.823 4.394
Pd -3.180 0.438 2.120
Pd 6.170 -3.373 2.895
Pd 5.500 0.516 8.132
Pd -0.526 1.726 5.893
Dy -2.775 -0.888 5.339
Dy 0.564 -3.453 3.875
Dy 5.080 1.806 4.913
Dy 8.419 -0.759 3.449

***

# 5
6
Lattice="3.571 0.000 0.000 -1.786 5.972 -0.684 0.000 -3.680 10.132" Properties=species:S:1:pos:R:3 comment="CaSmPb PBE optimized geometry" crystal_system=monoclinic ef_mev_per_atom=-97.5 pbc="T T T"
Pb 1.786 0.010 8.547
Pb 0.000 2.282 0.901
Sm 0.000 -0.068 5.705
Sm 1.786 2.360 3.743
Ca 0.000 -2.917 8.074
Ca 1.786 5.209 1.375

***

# 6
5
Lattice="4.698 0.000 0.000 0.000 4.698 0.000 0.000 0.000 4.698" Properties=species:S:1:pos:R:3 comment="CsCu3P PBE optimized geometry" crystal_system=cubic ef_mev_per_atom=276.5 relative_energy_ev_per_fu=0.00 pbc="T T T"
P 0.000 0.000 0.000
Cs 2.349 2.349 2.349
Cu 0.000 0.000 2.349
Cu 2.349 0.000 0.000
Cu 0.000 2.349 0.000

***

# 7
4
Lattice="-1.295 1.899 0.962 -1.710 -1.598 0.855 3.413 -0.580 5.742" Properties=species:S:1:pos:R:3 comment="BeCr2Fe PBE optimized geometry" crystal_system=tetragonal ef_mev_per_atom=98.6 pbc="T T T"
Cr 3.389 -0.576 5.701
Cr 1.731 -0.294 2.911
Fe -0.649 0.005 2.344
Be 1.058 -0.285 5.215

***

# 8
15
Lattice="-4.946 -6.057 -1.451 6.850 0.596 -4.037 0.666 -2.610 8.626" Properties=species:S:1:pos:R:3 comment="Pr8Co3Br3N PBE optimized geometry" crystal_system=monoclinic formation_energy_uncorrected_ev_per_fu=-9.942 pbc="T T T"
Pr -3.414 -5.526 1.449
Pr 5.984 -2.545 1.688
Pr 2.393 -2.865 3.805
Pr 0.017 -5.968 3.056
Pr -0.814 -2.342 2.212
Pr 0.177 -5.206 -0.667
Pr 2.553 -2.104 0.081
Pr 3.384 -5.729 0.925
Co -2.140 -4.334 3.587
Co 1.285 -4.036 1.569
Co 3.758 -1.007 2.294
Br 3.425 0.298 -2.019
Br 0.000 0.000 0.000
Br 0.952 -2.731 -2.744
N 0.333 -1.305 4.313

***

# 9
16
Lattice="-1.480 -9.208 -3.718 1.616 -1.828 3.884 -5.072 -0.031 2.096" Properties=species:S:1:pos:R:3 comment="LiAu PBE optimized geometry" crystal_system=orthorhombic ef_mev_per_atom=-520.2 pbc="T T T"
Li -2.602 -8.986 0.916
Li -1.064 -6.671 1.365
Li -4.927 -9.002 -0.833
Li -3.872 -4.396 0.896
Li -4.285 -4.397 3.776
Li -2.334 -2.081 1.346
Li -0.009 -2.065 3.094
Li -0.651 -6.671 -1.515
Au -2.512 -2.066 4.136
Au -2.423 -9.001 -1.874
Au -1.308 -4.395 -0.170
Au -3.628 -6.672 2.432
Au -0.055 -8.995 -0.148
Au -3.168 -6.662 -0.463
Au -4.881 -2.073 2.410
Au -1.768 -4.406 2.724

***

# 10
4
Lattice="0.000 3.380 3.380 3.380 0.000 3.380 3.380 3.380 0.000" Properties=species:S:1:pos:R:3 comment="TaTe2Mo PBE optimized geometry" crystal_system=cubic relative_energy_ev_per_fu=1.87 formation_energy_uncorrected_ev_per_fu=1.139 pbc="T T T"
Te 5.070 5.070 5.070
Te 1.690 1.690 1.690
Ta 3.380 3.380 3.380
Mo 0.000 0.000 0.000

***

# 11
4
Lattice="3.543 0.000 0.000 0.000 3.543 0.000 0.000 0.000 7.668" Properties=species:S:1:pos:R:3 comment="LiEr2V PBE optimized geometry" crystal_system=tetragonal ef_mev_per_atom=199.4 relative_energy_ev_per_fu=0.00 pbc="T T T"
V 1.771 1.771 0.000
Er 0.000 0.000 1.694
Er 0.000 0.000 5.975
Li 1.771 1.771 3.834

***

# 12
9
Lattice="4.774 0.000 0.000 -2.387 4.135 0.000 0.000 0.000 8.991" Properties=species:S:1:pos:R:3 comment="DyGa2Pt6 PBE optimized geometry" crystal_system=trigonal ef_mev_per_atom=-458.5 pbc="T T T"
Dy 0.000 0.000 0.000
Pt 3.144 0.000 2.355
Pt 1.572 2.723 6.636
Pt 1.630 0.000 6.636
Pt -1.572 2.723 2.355
Pt -0.815 1.412 6.636
Pt 0.815 1.412 2.355
Ga 2.387 1.378 4.496
Ga 0.000 2.756 4.496

***

# 13
11
Lattice="3.640 0.000 -1.040 0.166 9.498 0.581 -0.665 0.751 4.563" Properties=species:S:1:pos:R:3 comment="Fe4Ni2Pd5 PBE optimized geometry" crystal_system=monoclinic ef_mev_per_atom=-37.3 pbc="T T T"
Fe 2.988 8.409 3.568
Fe 2.366 7.115 1.391
Fe 0.775 3.135 2.713
Fe 0.153 1.841 0.536
Ni 1.065 6.708 3.729
Ni 2.076 3.542 0.375
Pd 2.740 4.814 2.699
Pd 1.820 0.000 -0.520
Pd 0.672 8.853 2.353
Pd 2.469 1.397 1.751
Pd 0.401 5.436 1.405

***

# 14
6
Lattice="-0.006 -0.692 3.479 2.616 -4.116 0.991 5.738 2.121 0.430" Properties=species:S:1:pos:R:3 comment="MgMoPt PBE optimized geometry" crystal_system=monoclinic ef_mev_per_atom=-209.7 relative_energy_ev_per_fu=0.39 pbc="T T T"
Pt 3.177 -3.174 2.800
Pt 5.247 0.641 3.563
Mo 4.417 -1.014 1.425
Mo 6.015 -2.163 3.004
Mg 1.374 -2.012 1.221
Mg 2.335 -0.385 3.356

***

# 15
4
Lattice="-2.353 1.767 -1.193 -2.574 -0.413 4.465 2.330 4.276 1.738" Properties=species:S:1:pos:R:3 comment="Pu2HAu PBE optimized geometry" crystal_system=tetragonal relative_energy_ev_per_fu=1.13 pbc="T T T"
Pu 1.165 2.138 0.869
Pu -1.287 -0.206 2.233
Au -1.299 2.815 2.505
H -1.177 0.884 -0.597

***

# 16
12
Lattice="-0.013 3.356 -1.588 -0.774 -4.442 -9.381 -6.258 1.152 2.486" Properties=species:S:1:pos:R:3 comment="BaSmPuN3 PBE optimized geometry" crystal_system=monoclinic formation_energy_uncorrected_ev_per_fu=-4.889 pbc="T T T"
Sm -1.509 -1.774 -5.907
Sm -5.536 1.840 -2.575
N -5.610 0.910 -0.200
N -1.673 0.594 -5.241
N -3.710 -2.313 -7.027
N -5.371 -0.528 -3.241
N -3.335 2.378 -1.456
N -1.434 -0.844 -8.282
Pu -3.861 1.242 0.487
Pu -3.184 -1.176 -8.969
Ba -2.103 -0.211 -2.597
Ba -4.942 0.276 -5.885

***

# 17
20
Lattice="-3.126 2.035 1.283 -3.188 -7.398 3.965 4.452 2.105 7.508" Properties=species:S:1:pos:R:3 comment="Nb2Al5Ir2Os PBE optimized geometry" crystal_system=tetragonal ef_mev_per_atom=-400.5 pbc="T T T"
Ir 2.382 0.398 5.172
Ir -1.118 -5.691 6.300
Ir 1.913 -2.769 9.052
Ir -0.649 -2.524 2.420
Nb 0.898 -0.600 3.138
Nb 2.638 -0.674 7.495
Nb 0.366 -4.694 8.334
Nb -1.374 -4.619 3.977
Al 1.809 2.244 6.910
Al -1.917 -0.316 1.895
Al -1.614 -1.585 4.644
Al -0.022 -0.033 6.061
Al -0.248 -1.674 8.111
Al -3.671 -5.503 5.845
Al 0.663 2.070 4.395
Al 0.055 -2.942 10.861
Al -3.157 -2.682 2.624
Al -1.840 -3.225 6.695
Os 0.632 -2.647 5.736
Os 0.000 0.000 0.000

***

# 18
10
Lattice="7.370 0.000 0.000 0.000 7.370 0.000 0.000 0.000 3.603" Properties=species:S:1:pos:R:3 comment="BiPt2Au2 PBE optimized geometry" crystal_system=tetragonal ef_mev_per_atom=17.5 relative_energy_ev_per_fu=0.00 pbc="T T T"
Au 4.866 6.189 1.801
Au 2.504 1.181 1.801
Au 1.181 4.866 1.801
Au 6.189 2.504 1.801
Bi 3.685 3.685 0.000
Bi 0.000 0.000 0.000
Pt 4.681 0.996 0.000
Pt 0.996 2.689 0.000
Pt 6.374 4.681 0.000
Pt 2.689 6.374 0.000

***

# 19
7
Lattice="-2.070 0.464 4.413 5.145 -2.888 2.716 1.630 6.286 0.104" Properties=species:S:1:pos:R:3 comment="HoMg2Pb4 PBE optimized geometry" crystal_system=orthorhombic ef_mev_per_atom=-142.8 pbc="T T T"
Pb 5.324 2.670 2.216
Pb 1.451 0.728 0.604
Pb 1.537 -1.212 3.565
Pb -0.220 3.375 2.258
Mg 2.558 3.866 0.793
Mg 4.217 -0.468 2.027
Ho 2.353 1.931 3.617

***

# 20
8
Lattice="4.417 0.000 0.000 0.000 7.640 0.121 0.000 -2.671 6.996" Properties=species:S:1:pos:R:3 comment="Li2SmPuTe4 PBE optimized geometry" crystal_system=monoclinic formation_energy_uncorrected_ev_per_fu=-9.163 pbc="T T T"
Sm 0.000 0.000 0.000
Te 0.000 -0.080 5.224
Te 2.209 3.725 5.265
Te 2.209 1.244 1.852
Te 0.000 5.049 1.893
Pu 2.209 3.820 0.061
Li 2.209 -1.336 3.498
Li 0.000 2.484 3.559

***

The records above yield DOS(E_F) values of 5.20; 17.57; 1.93; 10.27; 6.46; 2.64; 4.12; 10.82; 5.04; 6.63; 3.81; 4.32; 9.04; 3.79; 14.12; 6.20; 13.22; 5.07; 3.17; 14.41 states/eV per cell, respectively.
The records above yield uncorrected energy values of -8.39; -7.27; -5.88; -4.32; -3.57; -3.43; -7.76; -5.52; -3.12; -6.96; -4.84; -5.67; -6.53; -6.37; -8.80; -8.47; -7.18; -4.49; -3.37; -5.58 eV/atom, respectively.